one) Crystalline LiB2 at its relaxed geometry. Source: Alexandria via LeMat-Bulk, functional PBE.

Geometry as POSCAR:
```
LiB2
1.0
-2.2494 -0.7349 -2.1279
0.7542 -3.9895 2.1797
-2.2640 2.5429 3.1031
Li B
2 4
Cartesian
-1.1284 -0.1464 0.8413
-2.6309 -2.0351 2.3136
-2.8757 0.4715 2.2883
-1.6694 0.6616 3.3275
-0.8836 -2.6530 0.8665
-2.0898 -2.8431 -0.1726
```

Properties
Space group ... P-1 (2)
Magnetic moment ... 0.0000 μB per atom

***

two) Crystalline LiB2 at its relaxed geometry. Source: Alexandria via LeMat-Bulk, functional PBE.

Geometry as POSCAR:
```
LiB2
1.0
4.7332 0.0000 -0.0034
0.0000 2.9734 0.0000
-4.5350 0.0000 7.1267
B Li
8 4
Cartesian
0.9099 1.4867 5.1041
0.4861 0.0000 4.3202
-2.5554 1.4867 6.3665
-0.2879 0.0000 2.8031
2.7536 1.4867 0.7568
-0.7117 1.4867 2.0192
-2.9792 0.0000 5.5826
3.1774 0.0000 1.5407
-0.7978 0.0000 6.3309
-1.2715 1.4867 4.3558
0.9960 0.0000 0.7924
1.4697 1.4867 2.7675
```

Properties
Space group ... C2/m (12)
Magnetic moment ... 0.0000 μB per atom

***

Relative to the most stable one, in eV/atom, the structures come out at one) 0.027; two) 0.000.

***

one) Crystalline CoMoIr2 at its relaxed geometry. Source: Alexandria via LeMat-Bulk, functional PBE.

Geometry as POSCAR:
```
CoMoIr2
1.0
4.3244 0.0000 0.0000
2.1622 3.7451 0.0000
2.1622 1.2484 3.5309
Co Mo Ir
1 1 2
Cartesian
4.3244 2.4967 1.7654
2.1622 1.2484 0.8827
6.4866 3.7451 2.6482
0.0000 0.0000 0.0000
```

Properties
Space group ... F-43m (216)
Magnetic moment ... 0.2736 μB per atom

***

two) Crystalline CoMoIr2 at its relaxed geometry. Source: Alexandria via LeMat-Bulk, functional PBE.

Geometry as POSCAR:
```
CoMoIr2
1.0
4.6808 -0.0017 0.0017
3.8933 2.5985 0.0017
0.7812 0.2366 4.5972
Co Ir Mo
1 2 1
Cartesian
2.3388 0.7083 1.1501
4.6874 1.4196 2.2690
8.5643 2.5938 0.0347
7.0165 2.1250 3.4504
```

Properties
Space group ... C2/m (12)
Magnetic moment ... 0.2944 μB per atom

***

Relative to the most stable one, in eV/atom, the structures come out at one) 0.330; two) 0.000.

***

one) Crystalline AgPtCl2 at its relaxed geometry. Source: Alexandria via LeMat-Bulk, functional PBE.

Geometry as POSCAR:
```
AgPtCl2
1.0
6.7319 -0.0219 -0.0571
4.2071 5.2554 0.0571
-5.1549 -3.2742 2.8334
Ag Cl Pt
1 2 1
Cartesian
2.2608 2.2989 1.4452
6.6694 3.1908 0.0000
9.7390 4.6594 0.0000
3.5232 -0.3397 1.3882
```

Properties
Space group ... Immm (71)
Magnetic moment ... 0.2527 μB per atom

***

two) Crystalline AgPtCl2 at its relaxed geometry. Source: Alexandria via LeMat-Bulk, functional PBE.

Geometry as POSCAR:
```
AgPtCl2
1.0
4.7295 0.0000 0.0000
2.3648 4.0959 0.0000
2.3648 1.3653 3.8616
Cl Pt Ag
2 1 1
Cartesian
0.0000 0.0000 0.0000
7.0943 4.0959 2.8962
2.3648 1.3653 0.9654
4.7295 2.7306 1.9308
```

Properties
Space group ... F-43m (216)
Magnetic moment ... 0.0861 μB per atom

***

Relative to the most stable one, in eV/atom, the structures come out at one) 0.000; two) 0.631.

***

one) Crystalline ZrFe2Si2 at its relaxed geometry. Source: Alexandria via LeMat-Bulk, functional PBE.

Geometry as POSCAR:
```
ZrFe2Si2
1.0
6.9998 0.0000 0.0000
0.0000 6.9998 0.0000
0.0000 0.0000 2.6797
Fe Si Zr
4 4 2
Cartesian
1.0588 4.5587 1.3398
5.9410 2.4411 1.3398
2.4411 1.0588 1.3398
4.5587 5.9410 1.3398
4.4484 0.9485 0.0000
6.0513 4.4484 0.0000
0.9485 2.5514 0.0000
2.5514 6.0513 0.0000
3.4999 3.4999 0.0000
0.0000 0.0000 0.0000
```

Properties
Space group ... P4/mbm (127)
Magnetic moment ... 0.0000 μB per atom

***

two) Crystalline ZrFe2Si2 at its relaxed geometry. Source: Alexandria via LeMat-Bulk, functional PBE.

Geometry as POSCAR:
```
ZrFe2Si2
1.0
-2.4750 -2.3989 -1.7116
2.6567 -2.7836 0.0598
-1.4564 -3.9782 3.3554
Fe Si Zr
2 2 1
Cartesian
-1.9203 -4.4842 0.4090
0.6456 -4.6765 1.2946
-0.9687 -6.2137 1.4571
-0.3060 -2.9469 0.2465
0.0000 0.0000 0.0000
```

Properties
Space group ... I4/mmm (139)
Magnetic moment ... 0.0000 μB per atom

***

Relative to the most stable one, in eV/atom, the structures come out at one) 0.272; two) 0.000.